1.
# NaCaRuCl6 (PBE-GGA, optimized geometry)
# Magnetic moment in Bohr magnetons per cell: 2.01
# Raw formation energy in eV/atom: -1.389
# V in Å³ per atom: 25.96
# DFT total energy in eV per atom: -4.020
data_NaCaRuCl6
_cell_length_a 6.6593
_cell_length_b 6.6593
_cell_length_c 12.1662
_cell_angle_alpha 90.00
_cell_angle_beta 90.00
_cell_angle_gamma 120.00
_symmetry_space_group_name_H-M 'P -3 1 c'
_symmetry_Int_Tables_number 163
_symmetry_space_group_name_Hall '-P 3 2c'
loop_
_atom_site_label
_atom_site_type_symbol
_atom_site_fract_x
_atom_site_fract_y
_atom_site_fract_z
_atom_site_occupancy
Na1 Na 0.0000 0.0000 0.0000 1
Ca1 Ca 0.3333 0.6667 0.2500 1
Ru1 Ru 0.3333 0.6667 0.7500 1
Cl1 Cl 0.0403 0.3772 0.6348 1



2.
# Na2CaRuCl8 (PBE-GGA, optimized geometry)
# Magnetic moment in Bohr magnetons per cell: 2.00
# Raw formation energy in eV/atom: -1.355
# V in Å³ per atom: 26.96
# DFT total energy in eV per atom: -3.746
data_Na2CaRuCl8
_cell_length_a 6.230
_cell_length_b 8.047
_cell_length_c 6.458
_cell_angle_alpha 90.00
_cell_angle_beta 92.02
_cell_angle_gamma 90.00
_symmetry_space_group_name_H-M 'P 1 2/m 1'
_symmetry_Int_Tables_number 10
loop_
_symmetry_equiv_pos_as_xyz
'x,y,z'
'-x,-y,-z'
'-x,y,-z'
'x,-y,z'
loop_
_atom_site_label
_atom_site_type_symbol
_atom_site_fract_x
_atom_site_fract_y
_atom_site_fract_z
_atom_site_occupancy
Na1 Na 0.000 0.247 0.000 1
Ca1 Ca 0.500 0.000 0.500 1
Ru1 Ru 0.500 0.500 0.500 1
Cl1 Cl 0.230 0.000 0.177 1
Cl2 Cl 0.277 0.500 0.203 1
Cl3 Cl 0.287 0.289 0.646 1



3.
# NaCaS2Cl (PBE-GGA, optimized geometry)
# Magnetic moment in Bohr magnetons per cell: 0.00
# Raw formation energy in eV/atom: -0.600
# V in Å³ per atom: 24.55
# DFT total energy in eV per atom: -3.285
data_NaCaS2Cl
_cell_length_a 4.858
_cell_length_b 4.858
_cell_length_c 5.201
_cell_angle_alpha 90.00
_cell_angle_beta 90.00
_cell_angle_gamma 90.00
_symmetry_space_group_name_H-M 'P 4/m m m'
_symmetry_Int_Tables_number 123
_symmetry_space_group_name_Hall '-P 4 2'
loop_
_atom_site_label
_atom_site_type_symbol
_atom_site_fract_x
_atom_site_fract_y
_atom_site_fract_z
_atom_site_occupancy
Na1 Na 0.000 0.000 0.000 1
Ca1 Ca 0.500 0.500 0.500 1
S1 S 0.000 0.500 0.000 1
Cl1 Cl 0.000 0.000 0.500 1